First-principles (PBE-GGA) data for crystalline Na3Li2Ag7 at its relaxed geometry, as listed in Alexandria.

**Crystal system**: trigonal
**Formation energy from the elements**: -100 meV/atom

Cell: 5.636 5.636 9.682 Å, 73.08 73.08 60.00°
Fractional coordinates of all 12 atoms:
Na1 0.000 0.000 0.000
Na2 0.859 0.859 0.424
Na3 0.141 0.141 0.576
Li1 0.667 0.667 0.998
Li2 0.333 0.333 0.002
Ag1 0.500 0.500 0.500
Ag2 0.920 0.418 0.243
Ag3 0.418 0.920 0.243
Ag4 0.418 0.418 0.243
Ag5 0.080 0.582 0.757
Ag6 0.582 0.582 0.757
Ag7 0.582 0.080 0.757